# 1
Crystalline Tb5Te5Au at its relaxed geometry, computed with PBE.

Cell lengths 13.7829, 6.1794, 8.6416 Å; angles 90.00, 108.68, 90.00 degrees
Closest atoms and distances in Å follow each position.
Space group C2/m (No. 12)
One atom of each set of equivalent atoms:
1 Tb 0.0000 0.0000 0.0000  2 Au 3.09, 4 Te 3.09-3.12
2 Tb 0.1591 0.5000 0.3246  1 Au 2.96, 5 Te 3.04-3.10
3 Tb 0.1589 0.5000 0.8385  1 Au 2.95, 5 Te 3.04-3.12
4 Te 0.0000 0.5000 0.5000  4 Tb 3.04
5 Te 0.1649 0.0000 0.8270  5 Tb 3.09-3.12
6 Te 0.1746 0.0000 0.3356  5 Tb 3.09-3.12
7 Au 0.0000 0.5000 0.0000  6 Tb 2.95-3.09

## Properties
Crystal system = monoclinic
Uncorrected formation energy = -1259.9 meV per atom

***

# 2
Crystalline BaPuP2N6 at its relaxed geometry, computed with PBE.

Cell lengths 10.2353, 10.7005, 5.4938 Å; angles 90.00, 104.85, 90.00 degrees
Closest atoms and distances in Å follow each position.
Space group C2/c (No. 15)
One atom of each set of equivalent atoms:
1 Ba 0.0000 0.0978 0.2500  6 N 2.72-2.92
2 Pu 0.0000 0.3089 0.7500  2 N 1.93
3 P 0.2171 0.4217 0.1487  4 N 1.60-1.72
4 N 0.0917 0.3177 0.1038  1 P 1.67
5 N 0.1382 0.1396 0.7353  1 P 1.60
6 N 0.1848 0.4659 0.8386  2 P 1.68-1.72

## Properties
Crystal system = monoclinic
Uncorrected formation energy = -503.6 meV per atom

***

# 3
Crystalline Rb3Ga4Sn4 at its relaxed geometry, computed with PBE.

Cell lengths 4.6139, 5.5523, 27.6643 Å; angles 90.00, 90.00, 90.00 degrees
Closest atoms and distances in Å follow each position.
Space group Immm (No. 71)
One atom of each set of equivalent atoms:
1 Rb 0.0000 0.0000 0.0000  8 Ga 3.83, 4 Sn 3.83
2 Rb 0.0000 0.5000 0.3574  6 Sn 3.69-3.84, 6 Ga 3.85-3.89
3 Ga 0.0000 0.0000 0.4540  1 Ga 2.55, 2 Sn 2.68
4 Ga 0.0000 0.5000 0.1945  3 Sn 2.74-2.82
5 Sn 0.0000 0.0000 0.2466  4 Ga 2.82-3.13
6 Sn 0.0000 0.5000 0.0954  3 Ga 2.68-2.74

## Properties
Crystal system = orthorhombic
E_tot = -2.967 eV/atom

***

# 4
Crystalline BeAg2Pb at its relaxed geometry, computed with PBE.

Cell lengths 6.7641, 6.7641, 6.7641 Å; angles 90.00, 90.00, 90.00 degrees
Closest atoms and distances in Å follow each position.
Space group Fm-3m (No. 225)
One atom of each set of equivalent atoms:
1 Be 0.0000 0.0000 0.0000  8 Ag 2.93
2 Ag 0.2500 0.2500 0.2500  4 Pb 2.93, 4 Be 2.93
3 Pb 0.0000 0.0000 0.5000  8 Ag 2.93

## Properties
Crystal system = cubic
Excess energy over the best structure of this formula in the dataset = 1.08 eV per formula unit